# 1
DFT (PBE) results for Ac4Sb2AsN2 after structural relaxation.

Computed properties:
**Space-group type**: No. 12
**Crystal system**: monoclinic

abc: 8.834 8.834 9.538
angles: 119.67 119.67 28.63
Fractional coordinates of all 9 atoms:
Ac: 0.020 0.020 0.288
Ac: 0.274 0.274 0.364
Ac: 0.726 0.726 0.636
Ac: 0.980 0.980 0.712
Sb: 0.406 0.406 0.941
Sb: 0.594 0.594 0.059
As: 0.500 0.500 0.500
N: 0.178 0.178 0.483
N: 0.822 0.822 0.517

=====

# 2
DFT (PBE) results for Ac8As3Se4N after structural relaxation.

Computed properties:
**Space-group type**: No. 166
**Crystal system**: trigonal

abc: 8.928 8.928 8.928
angles: 59.38 59.38 59.38
Fractional coordinates of all 16 atoms:
Ac: 0.247 0.247 0.247
Ac: 0.264 0.731 0.731
Ac: 0.269 0.269 0.736
Ac: 0.269 0.736 0.269
Ac: 0.731 0.264 0.731
Ac: 0.731 0.731 0.264
Ac: 0.736 0.269 0.269
Ac: 0.753 0.753 0.753
As: 0.000 0.000 0.500
As: 0.000 0.500 0.000
As: 0.500 0.000 0.000
Se: 0.000 0.000 0.000
Se: 0.000 0.500 0.500
Se: 0.500 0.000 0.500
Se: 0.500 0.500 0.000
N: 0.500 0.500 0.500

=====

# 3
DFT (PBE) results for Ac3AsSeN after structural relaxation.

Computed properties:
**Space-group type**: No. 11
**Crystal system**: monoclinic

abc: 9.252 4.330 9.864
angles: 90.00 100.71 90.00
Fractional coordinates of all 12 atoms:
Ac: 0.091 0.250 0.345
Ac: 0.171 0.750 0.014
Ac: 0.405 0.750 0.678
Ac: 0.595 0.250 0.322
Ac: 0.829 0.250 0.986
Ac: 0.909 0.750 0.655
As: 0.172 0.250 0.704
As: 0.828 0.750 0.296
Se: 0.351 0.750 0.355
Se: 0.649 0.250 0.645
N: 0.087 0.250 0.105
N: 0.913 0.750 0.895

=====

Number 1: E_form (uncorrected) -1111 meV/atom. Number 2: E_form (uncorrected) -1624 meV/atom. Number 3: E_form (uncorrected) -1449 meV/atom.